No. 1
An optimized crystal structure of TiAsO2F, computed with PBE.

Computed properties:
- Theoretical density: 4265 kg/m3
- Energy relative to the elements, uncorrected: -4.260 eV per formula unit

a b c (Å): 4.057 4.057 4.111
angles (deg): 90.00 90.00 90.00
Site moments in Bohr magnetons follow the coordinates.
Fractional coordinates of all 5 atoms:
Ti  0.500  0.500  0.500  1.87
F  0.000  0.000  0.500  0.01
As  0.000  0.000  0.000  0.00
O  0.000  0.500  0.000  -0.01
O  0.500  0.000  0.000  -0.01



No. 2
An optimized crystal structure of CsHg3Pt, computed with PBE.

Computed properties:
- Theoretical density: 9501 kg/m3
- Energy above the lowest structure with this stoichiometry: 0.0 meV/atom
- Energy relative to the elements: -0.303 eV/atom

a b c (Å): 5.457 5.457 5.457
angles (deg): 90.25 90.00 90.00
Fractional coordinates of all 5 atoms:
Hg  0.500  0.626  0.874
Hg  0.000  0.126  0.874
Hg  0.500  0.126  0.374
Cs  0.000  0.625  0.375
Pt  0.500  0.126  0.874



No. 3
An optimized crystal structure of MnSeI, computed with PBE.

Computed properties:
- Theoretical density: 4369 kg/m3
- Energy relative to the elements, uncorrected: -0.962 eV per formula unit

a b c (Å): 3.830 7.402 7.338
angles (deg): 99.00 89.99 105.04
Site moments in Bohr magnetons follow the coordinates.
Fractional coordinates of all 6 atoms:
Mn  0.241  0.052  0.375  3.76
Mn  0.911  0.392  0.280  3.78
I  0.457  0.484  0.046  0.09
I  0.073  0.719  0.522  0.06
Se  0.738  0.046  0.148  -0.16
Se  0.830  0.229  0.557  -0.16



No. 4
An optimized crystal structure of SiTc2Ir, computed with PBE.

Computed properties:
- Theoretical density: 12303 kg/m3
- Energy relative to the elements, uncorrected: -0.578 eV per formula unit

a b c (Å): 4.675 4.675 4.675
angles (deg): 131.47 131.47 71.08
Fractional coordinates of all 4 atoms:
Ir  0.500  0.500  0.000
Si  0.750  0.250  0.500
Tc  0.250  0.750  0.500
Tc  0.000  0.000  0.000